(1)
Here is a relaxed AlMo4AsC2 crystal from OQMD via LeMat-Bulk. Energies are from PBE-GGA.

a b c (Å): 3.101 3.101 12.985
angles (deg): 90.00 90.00 120.00
Sites, in units of the cell vectors:
Al (0.000, 0.000, 0.000)
Mo (0.000, 0.000, 0.345)
Mo (0.000, 0.000, 0.655)
Mo (0.667, 0.333, 0.166)
Mo (0.667, 0.333, 0.834)
As (0.667, 0.333, 0.500)
C (0.333, 0.667, 0.254)
C (0.333, 0.667, 0.746)

Output
The volume is 13.5 Å³ per atom. The value obtained for the electronic total energy is -8.869 eV/atom.

---

(2)
Here is a relaxed ZrTlCuOs crystal from OQMD via LeMat-Bulk. Energies are from PBE-GGA.

a b c (Å): 6.569 6.569 6.569
angles (deg): 90.00 90.00 90.00
Sites, in units of the cell vectors:
Zr (0.000, 0.000, 0.000)
Zr (0.000, 0.500, 0.500)
Zr (0.500, 0.000, 0.500)
Zr (0.500, 0.500, 0.000)
Tl (0.000, 0.000, 0.500)
Tl (0.000, 0.500, 0.000)
Tl (0.500, 0.000, 0.000)
Tl (0.500, 0.500, 0.500)
Cu (0.250, 0.250, 0.750)
Cu (0.250, 0.750, 0.250)
Cu (0.750, 0.250, 0.250)
Cu (0.750, 0.750, 0.750)
Os (0.250, 0.250, 0.250)
Os (0.250, 0.750, 0.750)
Os (0.750, 0.250, 0.750)
Os (0.750, 0.750, 0.250)

Output
The volume is 17.7 Å³ per atom. The value obtained for the electronic total energy is -6.269 eV/atom.

---

(3)
Here is a relaxed DyCuSnTe2S crystal from OQMD via LeMat-Bulk. Energies are from PBE-GGA.

a b c (Å): 7.460 7.460 10.288
angles (deg): 90.00 90.00 147.67
Sites, in units of the cell vectors:
Dy (0.000, 0.000, 0.000)
Dy (0.000, 0.000, 0.500)
Cu (0.483, 0.517, 0.750)
Cu (0.517, 0.483, 0.250)
Sn (0.272, 0.728, 0.250)
Sn (0.728, 0.272, 0.750)
Te (0.350, 0.650, 0.566)
Te (0.350, 0.650, 0.934)
Te (0.650, 0.350, 0.066)
Te (0.650, 0.350, 0.434)
S (0.068, 0.932, 0.750)
S (0.932, 0.068, 0.250)

Output
The volume is 25.5 Å³ per atom. The value obtained for the electronic total energy is -4.565 eV/atom.

---

(4)
Here is a relaxed TlAgBr3 crystal from OQMD via LeMat-Bulk. Energies are from PBE-GGA.

a b c (Å): 7.191 7.191 10.250
angles (deg): 90.00 90.00 146.34
Sites, in units of the cell vectors:
Tl (0.246, 0.754, 0.750)
Tl (0.754, 0.246, 0.250)
Ag (0.500, 0.500, 0.000)
Ag (0.500, 0.500, 0.500)
Br (0.133, 0.867, 0.049)
Br (0.133, 0.867, 0.451)
Br (0.439, 0.561, 0.250)
Br (0.561, 0.439, 0.750)
Br (0.867, 0.133, 0.549)
Br (0.867, 0.133, 0.951)

Output
The volume is 29.4 Å³ per atom. The value obtained for the electronic total energy is -2.495 eV/atom.

---

(5)
Here is a relaxed TbLuGaTe3 crystal from OQMD via LeMat-Bulk. Energies are from PBE-GGA.

a b c (Å): 7.881 7.881 10.399
angles (deg): 90.00 90.00 149.69
Sites, in units of the cell vectors:
Tb (0.221, 0.779, 0.750)
Tb (0.779, 0.221, 0.250)
Lu (0.000, 0.000, 0.000)
Lu (0.000, 0.000, 0.500)
Ga (0.474, 0.526, 0.250)
Ga (0.526, 0.474, 0.750)
Te (0.122, 0.878, 0.250)
Te (0.348, 0.652, 0.040)
Te (0.348, 0.652, 0.460)
Te (0.652, 0.348, 0.540)
Te (0.652, 0.348, 0.960)
Te (0.878, 0.122, 0.750)

Output
The volume is 27.2 Å³ per atom. The value obtained for the electronic total energy is -4.510 eV/atom.

---

(6)
Here is a relaxed Li2Mg2AlCdCu2 crystal from OQMD via LeMat-Bulk. Energies are from PBE-GGA.

a b c (Å): 4.430 4.430 6.304
angles (deg): 90.00 90.00 90.00
Sites, in units of the cell vectors:
Li (0.000, 0.500, 0.243)
Li (0.500, 0.000, 0.757)
Mg (0.000, 0.000, 0.000)
Mg (0.500, 0.500, 0.500)
Al (0.500, 0.500, 0.000)
Cd (0.000, 0.000, 0.500)
Cu (0.000, 0.500, 0.771)
Cu (0.500, 0.000, 0.229)

Output
The volume is 15.5 Å³ per atom. The value obtained for the electronic total energy is -2.557 eV/atom.

---

(7)
Here is a relaxed PaBTe crystal from OQMD via LeMat-Bulk. Energies are from PBE-GGA.

a b c (Å): 6.250 6.250 6.250
angles (deg): 90.00 90.00 90.00
Sites, in units of the cell vectors:
Pa (0.000, 0.000, 0.000)
Pa (0.000, 0.500, 0.500)
Pa (0.500, 0.000, 0.500)
Pa (0.500, 0.500, 0.000)
B (0.250, 0.250, 0.250)
B (0.250, 0.750, 0.750)
B (0.750, 0.250, 0.750)
B (0.750, 0.750, 0.250)
Te (0.000, 0.000, 0.500)
Te (0.000, 0.500, 0.000)
Te (0.500, 0.000, 0.000)
Te (0.500, 0.500, 0.500)

Output
The volume is 20.3 Å³ per atom. The value obtained for the electronic total energy is -6.165 eV/atom.

---

(8)
Here is a relaxed NaTbPbSe3 crystal from OQMD via LeMat-Bulk. Energies are from PBE-GGA.

a b c (Å): 7.188 7.188 10.990
angles (deg): 90.00 90.00 145.34
Sites, in units of the cell vectors:
Na (0.027, 0.973, 0.750)
Na (0.973, 0.027, 0.250)
Tb (0.500, 0.500, 0.000)
Tb (0.500, 0.500, 0.500)
Pb (0.247, 0.753, 0.250)
Pb (0.753, 0.247, 0.750)
Se (0.139, 0.861, 0.549)
Se (0.139, 0.861, 0.951)
Se (0.407, 0.593, 0.750)
Se (0.593, 0.407, 0.250)
Se (0.861, 0.139, 0.049)
Se (0.861, 0.139, 0.451)

Output
The volume is 26.9 Å³ per atom. The value obtained for the electronic total energy is -4.443 eV/atom.

---

(9)
Here is a relaxed LiMgAu2 crystal from OQMD via LeMat-Bulk. Energies are from PBE-GGA.

a b c (Å): 6.314 6.391 3.317
angles (deg): 90.00 90.00 90.00
Sites, in units of the cell vectors:
Li (0.000, 0.000, 0.000)
Li (0.500, 0.500, 0.000)
Mg (0.000, 0.500, 0.000)
Mg (0.500, 0.000, 0.000)
Au (0.250, 0.250, 0.500)
Au (0.250, 0.750, 0.500)
Au (0.750, 0.250, 0.500)
Au (0.750, 0.750, 0.500)

Output
The volume is 16.7 Å³ per atom. The value obtained for the electronic total energy is -3.083 eV/atom.

---

(10)
Here is a relaxed NaZrInPt crystal from OQMD via LeMat-Bulk. Energies are from PBE-GGA.

a b c (Å): 6.891 6.891 6.891
angles (deg): 90.00 90.00 90.00
Sites, in units of the cell vectors:
Na (0.000, 0.000, 0.000)
Na (0.000, 0.500, 0.500)
Na (0.500, 0.000, 0.500)
Na (0.500, 0.500, 0.000)
Zr (0.250, 0.250, 0.750)
Zr (0.250, 0.750, 0.250)
Zr (0.750, 0.250, 0.250)
Zr (0.750, 0.750, 0.750)
In (0.250, 0.250, 0.250)
In (0.250, 0.750, 0.750)
In (0.750, 0.250, 0.750)
In (0.750, 0.750, 0.250)
Pt (0.000, 0.000, 0.500)
Pt (0.000, 0.500, 0.000)
Pt (0.500, 0.000, 0.000)
Pt (0.500, 0.500, 0.500)

Output
The volume is 20.5 Å³ per atom. The value obtained for the electronic total energy is -5.092 eV/atom.

---

(11)
Here is a relaxed NdSiNi4 crystal from OQMD via LeMat-Bulk. Energies are from PBE-GGA.

a b c (Å): 5.167 8.287 3.969
angles (deg): 90.00 90.00 90.00
Sites, in units of the cell vectors:
Nd (0.000, 0.000, 0.000)
Nd (0.500, 0.500, 0.000)
Si (0.000, 0.500, 0.500)
Si (0.500, 0.000, 0.500)
Ni (0.000, 0.343, 0.000)
Ni (0.000, 0.657, 0.000)
Ni (0.250, 0.250, 0.500)
Ni (0.250, 0.750, 0.500)
Ni (0.500, 0.157, 0.000)
Ni (0.500, 0.843, 0.000)
Ni (0.750, 0.250, 0.500)
Ni (0.750, 0.750, 0.500)

Output
The volume is 14.2 Å³ per atom. The value obtained for the electronic total energy is -5.963 eV/atom.

---

(12)
Here is a relaxed PuZn crystal from OQMD via LeMat-Bulk. Energies are from PBE-GGA.

a b c (Å): 4.681 15.239 4.684
angles (deg): 90.00 90.00 90.00
Sites, in units of the cell vectors:
Pu (0.000, 0.000, 0.000)
Pu (0.000, 0.135, 0.500)
Pu (0.000, 0.500, 0.999)
Pu (0.000, 0.865, 0.500)
Pu (0.500, 0.000, 0.499)
Pu (0.500, 0.364, 0.994)
Pu (0.500, 0.500, 0.496)
Pu (0.500, 0.636, 0.994)
Zn (0.000, 0.249, 0.001)
Zn (0.000, 0.353, 0.499)
Zn (0.000, 0.647, 0.499)
Zn (0.000, 0.751, 0.001)
Zn (0.500, 0.147, 0.997)
Zn (0.500, 0.251, 0.493)
Zn (0.500, 0.749, 0.493)
Zn (0.500, 0.853, 0.997)

Output
The volume is 20.9 Å³ per atom. The value obtained for the electronic total energy is -7.769 eV/atom.

---

(13)
Here is a relaxed Pa crystal from OQMD via LeMat-Bulk. Energies are from PBE-GGA.

a b c (Å): 3.224 3.224 11.123
angles (deg): 90.00 90.00 120.00
Sites, in units of the cell vectors:
Pa (0.000, 0.000, 0.000)
Pa (0.000, 0.000, 0.500)
Pa (0.333, 0.667, 0.250)
Pa (0.667, 0.333, 0.750)

Output
The volume is 25.0 Å³ per atom. The value obtained for the electronic total energy is -9.460 eV/atom.

---

(14)
Here is a relaxed LuClO crystal from OQMD via LeMat-Bulk. Energies are from PBE-GGA.

a b c (Å): 8.963 8.963 7.312
angles (deg): 93.78 93.78 24.74
Sites, in units of the cell vectors:
Lu (0.187, 0.187, 0.115)
Lu (0.189, 0.189, 0.614)
Lu (0.811, 0.811, 0.386)
Lu (0.813, 0.813, 0.885)
Cl (0.079, 0.079, 0.843)
Cl (0.397, 0.397, 0.647)
Cl (0.603, 0.603, 0.353)
Cl (0.921, 0.921, 0.157)
O (0.256, 0.256, 0.371)
O (0.256, 0.256, 0.880)
O (0.744, 0.744, 0.120)
O (0.744, 0.744, 0.629)

Output
The volume is 20.4 Å³ per atom. The value obtained for the electronic total energy is -6.856 eV/atom.

---

(15)
Here is a relaxed LaMg4InPd2 crystal from OQMD via LeMat-Bulk. Energies are from PBE-GGA.

a b c (Å): 7.236 4.928 14.698
angles (deg): 90.00 90.00 90.00
Sites, in units of the cell vectors:
La (0.000, 0.000, 0.000)
La (0.000, 0.500, 0.500)
Mg (0.263, 0.000, 0.325)
Mg (0.263, 0.500, 0.825)
Mg (0.316, 0.000, 0.541)
Mg (0.316, 0.500, 0.041)
Mg (0.684, 0.000, 0.541)
Mg (0.684, 0.500, 0.041)
Mg (0.737, 0.000, 0.325)
Mg (0.737, 0.500, 0.825)
In (0.000, 0.000, 0.782)
In (0.000, 0.500, 0.282)
Pd (0.000, 0.000, 0.199)
Pd (0.000, 0.000, 0.603)
Pd (0.000, 0.500, 0.103)
Pd (0.000, 0.500, 0.699)

Output
The volume is 32.8 Å³ per atom. The value obtained for the electronic total energy is -2.939 eV/atom.

---

(16)
Here is a relaxed Rb4MgZnSn2 crystal from OQMD via LeMat-Bulk. Energies are from PBE-GGA.

a b c (Å): 8.827 11.514 6.614
angles (deg): 90.00 91.45 90.00
Sites, in units of the cell vectors:
Rb (0.140, 0.171, 0.248)
Rb (0.140, 0.829, 0.248)
Rb (0.360, 0.329, 0.752)
Rb (0.360, 0.671, 0.752)
Rb (0.640, 0.329, 0.248)
Rb (0.640, 0.671, 0.248)
Rb (0.860, 0.171, 0.752)
Rb (0.860, 0.829, 0.752)
Mg (0.000, 0.500, 0.500)
Mg (0.500, 0.000, 0.500)
Zn (0.000, 0.500, 0.000)
Zn (0.500, 0.000, 0.000)
Sn (0.246, 0.500, 0.240)
Sn (0.254, 0.000, 0.760)
Sn (0.746, 0.000, 0.240)
Sn (0.754, 0.500, 0.760)

Output
The volume is 42.0 Å³ per atom. The value obtained for the electronic total energy is -1.995 eV/atom.

---

(17)
Here is a relaxed SmTeAuO crystal from OQMD via LeMat-Bulk. Energies are from PBE-GGA.

a b c (Å): 5.808 10.323 5.828
angles (deg): 90.00 90.00 90.00
Sites, in units of the cell vectors:
Sm (0.000, 0.108, 0.250)
Sm (0.000, 0.892, 0.750)
Sm (0.500, 0.108, 0.750)
Sm (0.500, 0.892, 0.250)
Te (0.000, 0.281, 0.750)
Te (0.000, 0.719, 0.250)
Te (0.500, 0.281, 0.250)
Te (0.500, 0.719, 0.750)
Au (0.250, 0.500, 0.239)
Au (0.250, 0.500, 0.739)
Au (0.750, 0.500, 0.261)
Au (0.750, 0.500, 0.761)
O (0.250, 0.000, 0.000)
O (0.250, 0.000, 0.500)
O (0.750, 0.000, 0.000)
O (0.750, 0.000, 0.500)

Output
The volume is 21.8 Å³ per atom. The value obtained for the electronic total energy is -5.798 eV/atom.

---

(18)
Here is a relaxed CuSi2Tc2 crystal from OQMD via LeMat-Bulk. Energies are from PBE-GGA.

a b c (Å): 6.568 6.568 3.113
angles (deg): 90.00 90.00 90.00
Sites, in units of the cell vectors:
Cu (0.000, 0.000, 0.000)
Cu (0.500, 0.500, 0.000)
Si (0.138, 0.362, 0.000)
Si (0.362, 0.862, 0.000)
Si (0.638, 0.138, 0.000)
Si (0.862, 0.638, 0.000)
Tc (0.158, 0.658, 0.500)
Tc (0.342, 0.158, 0.500)
Tc (0.658, 0.842, 0.500)
Tc (0.842, 0.342, 0.500)

Output
The volume is 13.4 Å³ per atom. The value obtained for the electronic total energy is -7.325 eV/atom.

---

(19)
Here is a relaxed NdZrCu crystal from OQMD via LeMat-Bulk. Energies are from PBE-GGA.

a b c (Å): 6.656 6.656 6.656
angles (deg): 90.00 90.00 90.00
Sites, in units of the cell vectors:
Nd (0.000, 0.000, 0.000)
Nd (0.000, 0.500, 0.500)
Nd (0.500, 0.000, 0.500)
Nd (0.500, 0.500, 0.000)
Zr (0.250, 0.250, 0.250)
Zr (0.250, 0.750, 0.750)
Zr (0.750, 0.250, 0.750)
Zr (0.750, 0.750, 0.250)
Cu (0.250, 0.250, 0.750)
Cu (0.250, 0.750, 0.250)
Cu (0.750, 0.250, 0.250)
Cu (0.750, 0.750, 0.750)

Output
The volume is 24.6 Å³ per atom. The value obtained for the electronic total energy is -4.674 eV/atom.

---

(20)
Here is a relaxed BiSbIr crystal from OQMD via LeMat-Bulk. Energies are from PBE-GGA.

a b c (Å): 6.626 6.626 6.626
angles (deg): 90.00 90.00 90.00
Sites, in units of the cell vectors:
Bi (0.000, 0.000, 0.000)
Bi (0.000, 0.500, 0.500)
Bi (0.500, 0.000, 0.500)
Bi (0.500, 0.500, 0.000)
Sb (0.000, 0.000, 0.500)
Sb (0.000, 0.500, 0.000)
Sb (0.500, 0.000, 0.000)
Sb (0.500, 0.500, 0.500)
Ir (0.250, 0.250, 0.250)
Ir (0.250, 0.750, 0.750)
Ir (0.750, 0.250, 0.750)
Ir (0.750, 0.750, 0.250)

Output
The volume is 24.2 Å³ per atom. The value obtained for the electronic total energy is -5.734 eV/atom.